# 1
A plane-wave DFT calculation with PBE-GGA was carried out for a relaxed structure of Tm2ZrHg.

Unit cell a=3.4438 b=3.4438 c=8.6196 alpha=90.00 beta=90.00 gamma=90.00
Closest atoms and distances in Å follow each position.
Fractional coordinates of all 4 atoms:
Tm1 0.0000 0.0000 0.2400  4 Hg 3.19, 4 Zr 3.31, 4 Tm 3.44
Tm2 0.0000 0.0000 0.7600  4 Hg 3.19, 4 Zr 3.31, 4 Tm 3.44
Zr1 0.5000 0.5000 0.5000  8 Tm 3.31, 4 Zr 3.44
Hg1 0.5000 0.5000 0.0000  8 Tm 3.19, 4 Hg 3.44

D(E_F) = 3.91 states/eV/cell
Symmetry = P4/mmm (123)
Excess energy over the best structure of this formula in the dataset = 0.000 eV per atom
VASP energy = -4.6739 eV per atom

# 2
A plane-wave DFT calculation with PBE-GGA was carried out for a relaxed structure of TmZr2Hg.

Unit cell a=11.5793 b=11.5793 c=11.5793 alpha=15.67 beta=15.67 gamma=15.67
Closest atoms and distances in Å follow each position.
Fractional coordinates of all 4 atoms:
Tm1 0.0000 0.0000 0.0000  6 Tm 3.16, 2 Zr 3.17
Zr1 0.0924 0.0924 0.0924  3 Hg 3.13, 6 Zr 3.16, 1 Tm 3.17
Zr2 0.9076 0.9076 0.9076  3 Hg 3.13, 6 Zr 3.16, 1 Tm 3.17
Hg1 0.5000 0.5000 0.5000  6 Zr 3.13, 6 Hg 3.16

D(E_F) = 5.65 states/eV/cell
Symmetry = R-3m (166)
Excess energy over the best structure of this formula in the dataset = 0.332 eV per atom
VASP energy = -5.2219 eV per atom

# 3
A plane-wave DFT calculation with PBE-GGA was carried out for a relaxed structure of TmZr2Hg.

Unit cell a=3.2880 b=3.2880 c=8.8013 alpha=90.00 beta=90.00 gamma=90.00
Closest atoms and distances in Å follow each position.
Fractional coordinates of all 4 atoms:
Tm1 0.0000 0.0000 0.0000  4 Tm 3.29, 8 Zr 3.29
Zr1 0.5000 0.5000 0.2644  4 Hg 3.12, 4 Zr 3.29, 4 Tm 3.29
Zr2 0.5000 0.5000 0.7356  4 Hg 3.12, 4 Zr 3.29, 4 Tm 3.29
Hg1 0.0000 0.0000 0.5000  8 Zr 3.12, 4 Hg 3.29

D(E_F) = 4.41 states/eV/cell
Symmetry = P4/mmm (123)
Excess energy over the best structure of this formula in the dataset = 0.043 eV per atom
VASP energy = -5.5108 eV per atom